# PBE NaFe2GePb, relaxed
data_NaFe2GePb
_chemical_formula_sum 'Na1 Fe2 Ge1 Pb1'
_cell_length_a 4.763
_cell_length_b 4.763
_cell_length_c 4.971
_cell_angle_alpha 90.00
_cell_angle_beta 90.00
_cell_angle_gamma 90.00
_space_group_name_H-M_alt 'P 4/m m m'
_space_group_IT_number 123
_space_group_name_Hall '-P 4 2'
loop_
_atom_site_label
_atom_site_type_symbol
_atom_site_fract_x
_atom_site_fract_y
_atom_site_fract_z
_atom_site_occupancy
Na1 Na 0.000 0.000 0.000 1
Fe1 Fe 0.000 0.500 0.000 1
Ge1 Ge 0.000 0.000 0.500 1
Pb1 Pb 0.500 0.500 0.500 1
# Energy of formation from the pure elements in eV/f.u.: 7.29
# M_tot in μB/f.u.: 6.16
# Calculated total energy in eV/atom: -3.86
# V in Å³/cell: 112.8



# PBE NaFe2GePd, relaxed
data_NaFe2GePd
_chemical_formula_sum 'Na1 Fe2 Ge1 Pd1'
_cell_length_a 4.719
_cell_length_b 4.719
_cell_length_c 4.952
_cell_angle_alpha 90.00
_cell_angle_beta 90.00
_cell_angle_gamma 90.00
_space_group_name_H-M_alt 'P 4/m m m'
_space_group_IT_number 123
_space_group_name_Hall '-P 4 2'
loop_
_atom_site_label
_atom_site_type_symbol
_atom_site_fract_x
_atom_site_fract_y
_atom_site_fract_z
_atom_site_occupancy
Na1 Na 0.000 0.000 0.000 1
Fe1 Fe 0.000 0.500 0.500 1
Ge1 Ge 0.500 0.500 0.000 1
Pd1 Pd 0.000 0.000 0.500 1
# Energy of formation from the pure elements in eV/f.u.: 5.04
# M_tot in μB/f.u.: 6.52
# Calculated total energy in eV/atom: -4.60
# V in Å³/cell: 110.3



# PBE Na2FeGe3Pt4, relaxed
data_Na2FeGe3Pt4
_chemical_formula_sum 'Na2 Fe1 Ge3 Pt4'
_cell_length_a 4.068
_cell_length_b 4.068
_cell_length_c 11.014
_cell_angle_alpha 90.00
_cell_angle_beta 90.00
_cell_angle_gamma 90.00
_space_group_name_H-M_alt 'P -4 m 2'
_space_group_IT_number 115
loop_
_space_group_symop_operation_xyz
'x,y,z'
'y,-x,-z'
'-x,-y,z'
'-y,x,-z'
'-x,y,z'
'-y,-x,-z'
'x,-y,z'
'y,x,-z'
loop_
_atom_site_label
_atom_site_type_symbol
_atom_site_fract_x
_atom_site_fract_y
_atom_site_fract_z
_atom_site_occupancy
Na1 Na 0.000 0.500 0.246 1
Fe1 Fe 0.500 0.500 0.000 1
Ge1 Ge 0.000 0.000 0.000 1
Ge2 Ge 0.000 0.500 0.639 1
Pt1 Pt 0.000 0.000 0.500 1
Pt2 Pt 0.000 0.500 0.861 1
Pt3 Pt 0.500 0.500 0.500 1
# Energy of formation from the pure elements in eV/f.u.: -3.93
# M_tot in μB/f.u.: 3.08
# Calculated total energy in eV/atom: -5.30
# V in Å³/cell: 182.2



# PBE Na2FeGe4Pt3, relaxed
data_Na2FeGe4Pt3
_chemical_formula_sum 'Na2 Fe1 Ge4 Pt3'
_cell_length_a 4.182
_cell_length_b 4.182
_cell_length_c 10.450
_cell_angle_alpha 90.00
_cell_angle_beta 90.00
_cell_angle_gamma 90.00
_space_group_name_H-M_alt 'P -4 m 2'
_space_group_IT_number 115
loop_
_space_group_symop_operation_xyz
'x,y,z'
'y,-x,-z'
'-x,-y,z'
'-y,x,-z'
'-x,y,z'
'-y,-x,-z'
'x,-y,z'
'y,x,-z'
loop_
_atom_site_label
_atom_site_type_symbol
_atom_site_fract_x
_atom_site_fract_y
_atom_site_fract_z
_atom_site_occupancy
Na1 Na 0.000 0.500 0.240 1
Fe1 Fe 0.500 0.500 0.000 1
Ge1 Ge 0.000 0.000 0.500 1
Ge2 Ge 0.000 0.500 0.877 1
Ge3 Ge 0.500 0.500 0.500 1
Pt1 Pt 0.000 0.000 0.000 1
Pt2 Pt 0.000 0.500 0.636 1
# Energy of formation from the pure elements in eV/f.u.: -3.53
# M_tot in μB/f.u.: 0.00
# Calculated total energy in eV/atom: -5.12
# V in Å³/cell: 182.8